1.
DFT (PBEsol) results for crystalline TaWC2 at its relaxed geometry.

The space group is Cmmm (No. 65) and the conventional cell measures 2.982, 5.314 and 6.049 Å, with angles of 90.00, 90.00 and 90.00 degrees. The inequivalent atoms are Ta at (0.000, 0.000, 0.000), W at (0.000, 0.000, 0.500) and C at (0.000, 0.500, 0.255).

The total energy is -87.378 eV/cell. The formation energy is 0.489 eV/atom. For the magnetization, the calculation gives 0.000 μB per cell.

***

2.
DFT (PBEsol) results for crystalline Np2Se5 at its relaxed geometry.

The space group is P4_2/nmc (No. 137, origin choice 2) and the conventional cell measures 5.362, 5.362 and 10.436 Å, with angles of 90.00, 90.00 and 90.00 degrees. The inequivalent atoms are Np at (0.250, 0.250, 0.151), Se at (0.006, 0.750, 0.103) and Se at (0.250, 0.750, 0.750).

The total energy is -106.172 eV/cell. The calculation puts the formation energy without anion corrections at -0.88 eV/atom. For the magnetization, the calculation gives 13.376 μB per cell.

***

3.
DFT (PBEsol) results for crystalline TbNi12B6 at its relaxed geometry.

The space group is Cmc2_1 (No. 36) and the conventional cell measures 9.433, 7.277 and 10.851 Å, with angles of 90.00, 90.00 and 90.00 degrees. The inequivalent atoms are Tb at (0.000, 0.167, 0.000), Ni at (0.000, 0.217, 0.602), Ni at (0.000, 0.435, 0.423), Ni at (0.130, 0.326, 0.238), Ni at (0.131, 0.342, 0.780), Ni at (0.132, 0.013, 0.758), Ni at (0.183, 0.186, 0.441), Ni at (0.194, 0.464, 0.572), B at (0.000, 0.164, 0.343), B at (0.000, 0.487, 0.658), B at (0.207, 0.195, 0.627) and B at (0.217, 0.456, 0.388).

The total energy is -518.029 eV/cell. The formation energy is -0.448 eV/atom. For the magnetization, the calculation gives 0.000 μB per cell.

***

4.
DFT (PBEsol) results for crystalline CsScSb2I at its relaxed geometry.

The space group is P4/mmm (No. 123) and the conventional cell measures 5.879, 5.879 and 6.347 Å, with angles of 90.00, 90.00 and 90.00 degrees. The inequivalent atoms are Cs at (0.000, 0.000, 0.000), Sc at (0.500, 0.500, 0.500), Sb at (0.000, 0.500, 0.000) and I at (0.000, 0.000, 0.500).

The total energy is -12.889 eV/cell. The calculation puts the formation energy without anion corrections at 1.11 eV/atom. For the magnetization, the calculation gives 0.233 μB per cell.

***

5.
DFT (PBEsol) results for crystalline K2CoTc at its relaxed geometry.

The space group is Pmmm (No. 47) and the conventional cell measures 2.728, 4.816 and 5.682 Å, with angles of 90.00, 90.00 and 90.00 degrees. The inequivalent atoms are K at (0.000, 0.000, 0.000), K at (0.500, 0.500, 0.000), Co at (0.000, 0.500, 0.500) and Tc at (0.500, 0.000, 0.500).

The total energy is -15.423 eV/cell. The relative energy among the computed polymorphs comes out at 644 meV per atom. The formation energy is 1.462 eV/atom. For the magnetization, the calculation gives 2.151 μB per cell.

***

6.
DFT (PBEsol) results for crystalline Sr3ZnO at its relaxed geometry.

The space group is Pm-3m (No. 221) and the conventional cell measures 5.107, 5.107 and 5.107 Å, with angles of 90.00, 90.00 and 90.00 degrees. The inequivalent atoms are Sr at (0.000, 0.000, 0.500), Zn at (0.500, 0.500, 0.500) and O at (0.000, 0.000, 0.000).

The total energy is -17.857 eV/cell. The calculation puts the formation energy without anion corrections at -1.10 eV/atom. For the magnetization, the calculation gives 0.003 μB per cell.

***

7.
DFT (PBEsol) results for crystalline Rb at its relaxed geometry.

The space group is C222_1 (No. 20) and the conventional cell measures 9.592, 15.831 and 29.730 Å, with angles of 90.00, 90.00 and 90.00 degrees. The inequivalent atoms are Rb at (0.000, 0.125, 0.250), Rb at (0.012, 0.376, 0.675), Rb at (0.016, 0.346, 0.109), Rb at (0.017, 0.099, 0.892), Rb at (0.232, 0.372, 0.537), Rb at (0.242, 0.121, 0.456) and Rb at (0.249, 0.125, 0.750).

The total energy is -52.219 eV/cell. The relative energy among the computed polymorphs comes out at 21 meV per atom. The formation energy is 0.021 eV/atom. For the magnetization, the calculation gives 0.001 μB per cell.

***

8.
DFT (PBEsol) results for crystalline InHg3 at its relaxed geometry.

The space group is Pmmn (No. 59, origin choice 2) and the conventional cell measures 5.462, 6.088 and 5.735 Å, with angles of 90.00, 90.00 and 90.00 degrees. The inequivalent atoms are In at (0.250, 0.250, 0.151), Hg at (0.250, 0.000, 0.651) and Hg at (0.250, 0.750, 0.155).

The total energy is -9.484 eV/cell. The formation energy is -0.015 eV/atom. For the magnetization, the calculation gives 0.000 μB per cell.

***

9.
DFT (PBEsol) results for crystalline HfTaTc2 at its relaxed geometry.

The space group is Fm-3m (No. 225) and the conventional cell measures 6.363, 6.363 and 6.363 Å, with angles of 90.00, 90.00 and 90.00 degrees. The inequivalent atoms are Hf at (0.000, 0.000, 0.000), Ta at (0.000, 0.000, 0.500) and Tc at (0.250, 0.250, 0.250).

The total energy is -190.187 eV/cell. The formation energy is -0.490 eV/atom. For the magnetization, the calculation gives 0.000 μB per cell.

***

10.
DFT (PBEsol) results for crystalline HgTeCl2F at its relaxed geometry.

The space group is P4/mmm (No. 123) and the conventional cell measures 4.918, 4.918 and 5.887 Å, with angles of 90.00, 90.00 and 90.00 degrees. The inequivalent atoms are Hg at (0.000, 0.000, 0.000), Te at (0.000, 0.000, 0.500), Cl at (0.000, 0.500, 0.000) and F at (0.500, 0.500, 0.500).

The total energy is -9.494 eV/cell. The calculation puts the formation energy without anion corrections at 0.11 eV/atom. For the magnetization, the calculation gives 1.880 μB per cell.

***

11.
DFT (PBEsol) results for crystalline NaGa2TeI at its relaxed geometry.

The space group is P4/mmm (No. 123) and the conventional cell measures 5.374, 5.374 and 8.483 Å, with angles of 90.00, 90.00 and 90.00 degrees. The inequivalent atoms are Na at (0.000, 0.000, 0.000), Ga at (0.000, 0.500, 0.500), Te at (0.500, 0.500, 0.500) and I at (0.500, 0.500, 0.000).

The total energy is -12.620 eV/cell. The calculation puts the formation energy without anion corrections at 0.15 eV/atom. For the magnetization, the calculation gives 0.000 μB per cell.

***

12.
DFT (PBEsol) results for crystalline La2ReAg at its relaxed geometry.

The space group is P2/m (No. 10) and the conventional cell measures 3.516, 3.516 and 7.790 Å, with angles of 90.00, 90.17 and 90.00 degrees. The inequivalent atoms are La at (0.002, 0.000, 0.278), Re at (0.500, 0.500, 0.500) and Ag at (0.500, 0.500, 0.000).

The total energy is -26.911 eV/cell. The relative energy among the computed polymorphs comes out at 0 meV per atom. The formation energy is 0.106 eV/atom. For the magnetization, the calculation gives 0.000 μB per cell.

***

Which of these has the highest magnetization? Np2Se5

***

Look up the magnetization of the eighth one. 0.000 μB per cell

***

What did the fourth record say?
DFT (PBEsol) results for crystalline CsScSb2I at its relaxed geometry.

The space group is P4/mmm (No. 123) and the conventional cell measures 5.879, 5.879 and 6.347 Å, with angles of 90.00, 90.00 and 90.00 degrees. The inequivalent atoms are Cs at (0.000, 0.000, 0.000), Sc at (0.500, 0.500, 0.500), Sb at (0.000, 0.500, 0.000) and I at (0.000, 0.000, 0.500).

The total energy is -12.889 eV/cell. The calculation puts the formation energy without anion corrections at 1.11 eV/atom. For the magnetization, the calculation gives 0.233 μB per cell.

***

What is the formula in the twelfth record? La2ReAg